# 1
Below is a PBEsol-optimized structure of HfS2Br, with properties calculated at the SCAN level.

a = 8.198 Å, b = 8.198 Å, c = 8.198 Å
α = 25.45°, β = 25.45°, γ = 25.45°
Positions (direct):
1 Hf 0.000 0.000 0.000
2 S 0.394 0.394 0.394
3 S 0.606 0.606 0.606
4 Br 0.500 0.500 0.500

Calculated values
- size of the total moment (μB per formula unit) = 0.00
- symmetry = R-3m
- ρ (g cm⁻³) = 5.98
- formation energy without anion corrections (eV per atom) = -1.09
- DOS(E_F) (states/eV per cell) = 1.382
- offset from the most stable computed form (meV per atom) = 0.0



# 2
Below is a PBEsol-optimized structure of HfSeSBr2, with properties calculated at the SCAN level.

a = 4.857 Å, b = 4.857 Å, c = 4.993 Å
α = 90.00°, β = 90.00°, γ = 90.00°
Positions (direct):
1 Hf 0.000 0.000 0.000
2 Se 0.500 0.500 0.000
3 S 0.500 0.500 0.500
4 Br 0.000 0.500 0.500
5 Br 0.500 0.000 0.500

Calculated values
- size of the total moment (μB per formula unit) = 1.72
- symmetry = P4/mmm
- ρ (g cm⁻³) = 6.33
- formation energy without anion corrections (eV per atom) = 0.69
- DOS(E_F) (states/eV per cell) = 3.965



# 3
Below is a PBEsol-optimized structure of Hf2SbBr, with properties calculated at the SCAN level.

a = 4.853 Å, b = 4.853 Å, c = 4.853 Å
α = 60.00°, β = 60.00°, γ = 60.00°
Positions (direct):
1 Hf 0.250 0.250 0.250
2 Hf 0.750 0.750 0.750
3 Sb 0.000 0.000 0.000
4 Br 0.500 0.500 0.500

Calculated values
- size of the total moment (μB per formula unit) = 0.00
- symmetry = Fm-3m
- ρ (g cm⁻³) = 11.48
- formation energy without anion corrections (eV per atom) = -0.34
- DOS(E_F) (states/eV per cell) = 1.060



# 4
Below is a PBEsol-optimized structure of Hf3ScBr, with properties calculated at the SCAN level.

a = 4.887 Å, b = 4.887 Å, c = 4.887 Å
α = 90.00°, β = 90.00°, γ = 90.00°
Positions (direct):
1 Hf 0.000 0.000 0.500
2 Hf 0.000 0.500 0.000
3 Hf 0.500 0.000 0.000
4 Sc 0.500 0.500 0.500
5 Br 0.000 0.000 0.000

Calculated values
- size of the total moment (μB per formula unit) = 0.00
- symmetry = Pm-3m
- ρ (g cm⁻³) = 9.39
- formation energy without anion corrections (eV per atom) = 0.39
- DOS(E_F) (states/eV per cell) = 3.756



# 5
Below is a PBEsol-optimized structure of HfScBr2, with properties calculated at the SCAN level.

a = 4.739 Å, b = 4.739 Å, c = 4.739 Å
α = 60.00°, β = 60.00°, γ = 60.00°
Positions (direct):
1 Hf 0.000 0.000 0.000
2 Sc 0.500 0.500 0.500
3 Br 0.250 0.250 0.250
4 Br 0.750 0.750 0.750

Calculated values
- size of the total moment (μB per formula unit) = 0.00
- symmetry = Fm-3m
- ρ (g cm⁻³) = 8.46
- formation energy without anion corrections (eV per atom) = -0.26
- DOS(E_F) (states/eV per cell) = 1.955
- offset from the most stable computed form (meV per atom) = 296.3



# 6
Below is a PBEsol-optimized structure of HfScBr2, with properties calculated at the SCAN level.

a = 9.600 Å, b = 9.600 Å, c = 9.600 Å
α = 19.90°, β = 19.90°, γ = 19.90°
Positions (direct):
1 Hf 0.000 0.000 0.000
2 Sc 0.500 0.500 0.500
3 Br 0.403 0.403 0.403
4 Br 0.597 0.597 0.597

Calculated values
- size of the total moment (μB per formula unit) = 0.63
- symmetry = R-3m
- ρ (g cm⁻³) = 7.10
- formation energy without anion corrections (eV per atom) = -0.55
- DOS(E_F) (states/eV per cell) = 3.327
- offset from the most stable computed form (meV per atom) = 0.0



ρ of number 4 (Hf3ScBr)?
9.39 g cm⁻³



What is the formula in the second record?
HfSeSBr2



The lowest DOS(E_F) belongs to which entry?
Hf2SbBr